[1]
Compound: Er8BiRh2
Source: Alexandria
Functional: PBE-GGA
Structure: relaxed

a b c (Å): 7.847 7.847 5.535
angles (deg): 97.53 97.53 113.63
Positions (direct):
Er 0.076 0.335 0.584
Er 0.249 0.751 0.000
Er 0.335 0.076 0.584
Er 0.397 0.397 0.203
Er 0.603 0.603 0.797
Er 0.665 0.924 0.416
Er 0.751 0.249 0.000
Er 0.924 0.665 0.416
Bi 0.000 0.000 0.000
Rh 0.305 0.695 0.500
Rh 0.695 0.305 0.500

ΔH_f (0 K): -0.4461 eV/atom
density of states at the Fermi level: 1.193 states/eV/atom

=====

[2]
Compound: ErBiRh3
Source: Alexandria
Functional: PBE-GGA
Structure: relaxed

a b c (Å): 6.563 6.563 6.563
angles (deg): 129.45 108.79 92.44
Positions (direct):
Er 0.272 0.022 0.250
Er 0.728 0.978 0.750
Bi 0.000 0.500 0.500
Bi 0.500 0.500 0.000
Rh 0.032 0.282 0.750
Rh 0.309 0.000 0.809
Rh 0.309 0.500 0.309
Rh 0.691 0.000 0.191
Rh 0.691 0.500 0.691
Rh 0.968 0.718 0.250

ΔH_f (0 K): -0.3634 eV/atom
density of states at the Fermi level: 0.469 states/eV/atom

=====

[3]
Compound: Er2BiRh
Source: Alexandria
Functional: PBE-GGA
Structure: relaxed

a b c (Å): 5.042 5.042 13.064
angles (deg): 90.00 90.00 120.00
Positions (direct):
Er 0.000 0.000 0.245
Er 0.000 0.000 0.755
Er 0.333 0.667 0.421
Er 0.333 0.667 0.912
Er 0.667 0.333 0.088
Er 0.667 0.333 0.579
Bi 0.000 0.000 0.000
Bi 0.333 0.667 0.667
Bi 0.667 0.333 0.333
Rh 0.000 0.000 0.500
Rh 0.333 0.667 0.167
Rh 0.667 0.333 0.833

ΔH_f (0 K): -0.5937 eV/atom
density of states at the Fermi level: 0.258 states/eV/atom

=====

[4]
Compound: ErBi2Rh2
Source: Alexandria
Functional: PBE-GGA
Structure: relaxed

a b c (Å): 4.703 4.769 10.114
angles (deg): 90.00 90.00 90.00
Positions (direct):
Er 0.250 0.250 0.171
Er 0.750 0.750 0.829
Bi 0.250 0.250 0.500
Bi 0.250 0.250 0.834
Bi 0.750 0.750 0.166
Bi 0.750 0.750 0.500
Rh 0.250 0.750 0.326
Rh 0.250 0.750 0.995
Rh 0.750 0.250 0.005
Rh 0.750 0.250 0.674

ΔH_f (0 K): -0.5099 eV/atom
density of states at the Fermi level: 0.558 states/eV/atom

=====

[5]
Compound: ErBi5Rh3
Source: Alexandria
Functional: PBE-GGA
Structure: relaxed

a b c (Å): 7.571 7.571 9.783
angles (deg): 107.20 107.20 72.24
Positions (direct):
Er 0.100 0.100 0.296
Er 0.900 0.900 0.704
Bi 0.025 0.624 0.357
Bi 0.231 0.231 0.033
Bi 0.299 0.701 0.000
Bi 0.376 0.975 0.643
Bi 0.433 0.433 0.633
Bi 0.567 0.567 0.367
Bi 0.624 0.025 0.357
Bi 0.701 0.299 0.000
Bi 0.769 0.769 0.967
Bi 0.975 0.376 0.643
Rh 0.000 0.000 0.000
Rh 0.000 0.000 0.500
Rh 0.329 0.329 0.328
Rh 0.334 0.334 0.837
Rh 0.666 0.666 0.163
Rh 0.671 0.671 0.672

ΔH_f (0 K): -0.1745 eV/atom
density of states at the Fermi level: 0.483 states/eV/atom

=====

[6]
Compound: Er4BiRh
Source: Alexandria
Functional: PBE-GGA
Structure: relaxed

a b c (Å): 8.154 4.062 19.281
angles (deg): 90.00 90.00 90.00
Positions (direct):
Er 0.002 0.250 0.067
Er 0.044 0.750 0.213
Er 0.140 0.750 0.644
Er 0.142 0.750 0.451
Er 0.358 0.250 0.951
Er 0.360 0.250 0.144
Er 0.456 0.250 0.713
Er 0.498 0.750 0.567
Er 0.502 0.250 0.433
Er 0.544 0.750 0.287
Er 0.640 0.750 0.856
Er 0.642 0.750 0.049
Er 0.858 0.250 0.549
Er 0.860 0.250 0.356
Er 0.956 0.250 0.787
Er 0.998 0.750 0.933
Bi 0.240 0.250 0.311
Bi 0.260 0.750 0.811
Bi 0.740 0.250 0.189
Bi 0.760 0.750 0.689
Rh 0.244 0.250 0.549
Rh 0.256 0.750 0.049
Rh 0.744 0.250 0.951
Rh 0.756 0.750 0.451

ΔH_f (0 K): -0.6291 eV/atom
density of states at the Fermi level: 1.079 states/eV/atom

=====

Question: Which formula does entry 5 have?
Answer: ErBi5Rh3

=====

Question: Among the records above, which one has the lowest ΔH_f (0 K)?
Answer: Er4BiRh